# 1
DFT (GGA-PBEsol) results for an optimized crystal structure of Sc2AsOs.

Unit cell a=8.859 b=8.859 c=8.859 alpha=20.47 beta=20.47 gamma=20.47
Element x y z (fractional)
Sc 0.092 0.092 0.092
Sc 0.908 0.908 0.908
As 0.500 0.500 0.500
Os 0.000 0.000 0.000

Values from the calculation:
The calculation puts the uncorrected energy at -7.48 eV per atom. Its crystal system is trigonal. Its space group is R-3m (166).



# 2
DFT (GGA-PBEsol) results for an optimized crystal structure of Sc2AsOs.

Unit cell a=5.332 b=5.332 c=5.332 alpha=137.78 beta=137.78 gamma=61.24
Element x y z (fractional)
Sc 0.000 0.000 0.000
Sc 0.750 0.250 0.500
As 0.500 0.500 0.000
Os 0.250 0.750 0.500

Values from the calculation:
The calculation puts the uncorrected energy at -8.12 eV per atom. Its crystal system is tetragonal. Its space group is I-4m2 (119).